[1]
Density functional theory data (PBE) for a geometry-optimized Na2HgBrO structure.

Formation energy without anion corrections, meV per atom: -1017

extended XYZ file:
```
5
Lattice="4.918 0.000 0.000 0.000 4.918 0.000 0.000 0.000 4.583" Properties=species:S:1:pos:R:3 pbc="T T T"
Na 0.000 2.459 0.000
Na 2.459 0.000 0.000
Hg 0.000 0.000 2.292
Br 2.459 2.459 2.292
O 0.000 0.000 0.000
```



[2]
Density functional theory data (PBE) for a geometry-optimized VIrPt3 structure.

Electronic total energy, eV per atom: -5.84

extended XYZ file:
```
5
Lattice="4.821 0.000 0.000 0.000 4.821 0.000 0.000 0.000 4.821" Properties=species:S:1:pos:R:3 pbc="T T T"
V 0.000 0.000 0.000
Ir 2.411 2.411 2.411
Pt 0.000 2.411 2.411
Pt 2.411 0.000 2.411
Pt 2.411 2.411 0.000
```



[3]
Density functional theory data (PBE) for a geometry-optimized Fe2SiAs structure.

Formation energy without anion corrections, meV per atom: 153

extended XYZ file:
```
4
Lattice="1.463 0.845 7.362 -1.463 0.845 7.362 0.000 -1.690 7.362" Properties=species:S:1:pos:R:3 pbc="T T T"
Fe 0.000 0.000 0.000
Fe 0.000 0.000 5.532
Si 0.000 0.000 11.251
As 0.000 0.000 16.482
```



[4]
Density functional theory data (PBE) for a geometry-optimized NaSb2HO structure.

Electronic total energy, eV per atom: -3.42

extended XYZ file:
```
5
Lattice="4.639 0.000 0.000 0.000 4.639 0.000 0.000 0.000 4.759" Properties=species:S:1:pos:R:3 pbc="T T T"
Na 0.000 0.000 0.000
Sb 0.000 2.319 2.379
Sb 2.319 0.000 2.379
H 2.319 2.319 0.000
O 0.000 0.000 2.379
```



[5]
Density functional theory data (PBE) for a geometry-optimized ScNiTe2I structure.

Formation energy without anion corrections, meV per atom: 280

extended XYZ file:
```
5
Lattice="5.589 0.000 0.000 0.000 5.589 0.000 0.000 0.000 5.584" Properties=species:S:1:pos:R:3 pbc="T T T"
Sc 0.000 0.000 0.000
Ni 2.794 2.794 2.792
Te 0.000 2.794 0.000
Te 2.794 0.000 0.000
I 0.000 0.000 2.792
```



[6]
Density functional theory data (PBE) for a geometry-optimized Ta2HN structure.

Electronic total energy, eV per atom: -8.40

extended XYZ file:
```
4
Lattice="0.000 2.791 2.791 2.791 0.000 2.791 2.791 2.791 0.000" Properties=species:S:1:pos:R:3 pbc="T T T"
Ta 1.395 1.395 1.395
Ta 4.186 4.186 4.186
H 0.000 0.000 0.000
N 2.791 2.791 2.791
```



[7]
Density functional theory data (PBE) for a geometry-optimized PmNd2Pb3 structure.

Electronic total energy, eV per atom: -4.73

extended XYZ file:
```
12
Lattice="4.812 -7.369 0.000 4.812 7.369 0.000 -2.611 0.000 5.360" Properties=species:S:1:pos:R:3 pbc="T T T"
Pm 2.854 6.137 4.020
Pm 4.160 -6.137 1.340
Nd 4.160 3.680 1.340
Nd 2.854 1.227 4.020
Nd 4.160 -1.227 1.340
Nd 2.854 -3.680 4.020
Pb 1.101 3.685 2.680
Pb 2.390 1.220 0.009
Pb 1.084 -1.220 2.689
Pb 2.406 -3.685 0.000
Pb 5.930 1.220 2.671
Pb 4.624 -1.220 5.350
```



[8]
Density functional theory data (PBE) for a geometry-optimized AlCdAu4 structure.

Electronic total energy, eV per atom: -3.16

extended XYZ file:
```
12
Lattice="5.221 0.000 0.000 0.000 5.684 0.000 -2.445 0.000 7.444" Properties=species:S:1:pos:R:3 pbc="T T T"
Al 0.960 1.421 0.030
Al 1.816 4.263 7.413
Cd 0.157 1.421 4.662
Cd 2.619 4.263 2.781
Au 0.013 2.848 2.068
Au 0.013 5.678 2.068
Au 0.149 4.263 4.655
Au -0.681 4.263 7.416
Au 3.457 1.421 0.028
Au 2.628 1.421 2.788
Au 2.764 0.006 5.376
Au 2.764 2.836 5.376
```



[9]
Density functional theory data (PBE) for a geometry-optimized Hf2GaTe structure.

Formation energy without anion corrections, meV per atom: 366

extended XYZ file:
```
8
Lattice="-3.017 3.017 6.661 3.017 -3.017 6.661 3.017 3.017 -6.661" Properties=species:S:1:pos:R:3 pbc="T T T"
Hf 4.525 1.238 -1.665
Hf 1.238 1.508 1.665
Hf -1.508 1.779 4.996
Hf 1.779 1.508 8.326
Ga 0.000 0.000 0.000
Ga 0.000 3.017 3.330
Te 3.017 0.000 3.330
Te 0.000 0.000 6.661
```



[10]
Density functional theory data (PBE) for a geometry-optimized CsAu2I7 structure.

Formation energy without anion corrections, meV per atom: -272

extended XYZ file:
```
10
Lattice="4.445 -10.671 0.000 4.445 10.671 0.000 0.000 0.000 4.832" Properties=species:S:1:pos:R:3 pbc="T T T"
Cs 0.000 0.000 0.000
Au 4.445 2.840 2.416
Au 4.445 -2.840 2.416
I 1.467 2.798 2.416
I 1.467 -2.798 2.416
I 4.445 4.108 0.000
I 4.445 0.000 2.416
I 4.445 -4.108 0.000
I 7.423 2.798 2.416
I 7.423 -2.798 2.416
```



[11]
Density functional theory data (PBE) for a geometry-optimized CsK2HgAs structure.

Electronic total energy, eV per atom: -1.79

extended XYZ file:
```
5
Lattice="6.451 0.000 0.000 0.000 6.451 0.000 0.000 0.000 7.133" Properties=species:S:1:pos:R:3 pbc="T T T"
Cs 0.000 0.000 0.000
K 0.000 3.225 3.566
K 3.225 0.000 3.566
Hg 3.225 3.225 0.000
As 0.000 0.000 3.566
```



[12]
Density functional theory data (PBE) for a geometry-optimized Th6Pt2Se3S structure.

Formation energy without anion corrections, meV per atom: -1466

extended XYZ file:
```
12
Lattice="9.349 -2.047 0.000 9.349 2.047 0.000 -2.224 0.000 8.307" Properties=species:S:1:pos:R:3 pbc="T T T"
Th -0.567 0.000 2.196
Th 4.102 0.000 7.752
Th 5.431 0.000 3.416
Th 11.043 0.000 4.891
Th 12.371 0.000 0.555
Th 17.041 0.000 6.110
Pt 1.221 0.000 6.877
Pt 15.252 0.000 1.430
Se 2.449 0.000 2.762
Se 9.349 0.000 0.000
Se 14.025 0.000 5.545
S 8.237 0.000 4.153
```



[13]
Density functional theory data (PBE) for a geometry-optimized CdP3C structure.

Electronic total energy, eV per atom: -2.62

extended XYZ file:
```
5
Lattice="4.978 0.000 0.000 0.000 4.978 0.000 0.000 0.000 4.978" Properties=species:S:1:pos:R:3 pbc="T T T"
Cd 0.000 0.000 0.000
P 0.000 0.000 2.489
P 0.000 2.489 0.000
P 2.489 0.000 0.000
C 2.489 2.489 2.489
```



[14]
Density functional theory data (PBE) for a geometry-optimized InSi2Te structure.

Formation energy without anion corrections, meV per atom: 288

extended XYZ file:
```
4
Lattice="6.156 -1.907 0.000 6.156 1.907 0.000 -1.142 0.000 4.407" Properties=species:S:1:pos:R:3 pbc="T T T"
In 0.000 0.000 0.000
Si 4.216 0.000 0.774
Si 9.773 0.000 2.073
Te 1.510 0.000 3.047
```



[15]
Density functional theory data (PBE) for a geometry-optimized CsBaSBr structure.

Formation energy without anion corrections, meV per atom: -1826

extended XYZ file:
```
4
Lattice="2.364 1.365 8.516 -2.364 1.365 8.516 0.000 -2.729 8.516" Properties=species:S:1:pos:R:3 pbc="T T T"
Cs 0.000 0.000 0.000
Ba 0.000 0.000 20.753
S 0.000 0.000 10.779
Br 0.000 0.000 5.873
```



[16]
Density functional theory data (PBE) for a geometry-optimized MoC2 structure.

Electronic total energy, eV per atom: -9.19

extended XYZ file:
```
6
Lattice="2.956 0.000 0.000 -1.478 2.560 0.000 0.000 0.000 8.153" Properties=species:S:1:pos:R:3 pbc="T T T"
Mo 0.000 1.707 2.038
Mo 1.478 0.853 6.115
C 0.000 0.000 0.672
C 0.000 0.000 3.404
C 0.000 0.000 4.748
C 0.000 0.000 7.481
```



[17]
Density functional theory data (PBE) for a geometry-optimized CsAl2PdI structure.

Formation energy without anion corrections, meV per atom: 576

extended XYZ file:
```
5
Lattice="6.145 0.000 0.000 0.000 6.145 0.000 0.000 0.000 5.153" Properties=species:S:1:pos:R:3 pbc="T T T"
Cs 0.000 0.000 0.000
Al 0.000 3.072 2.576
Al 3.072 0.000 2.576
Pd 3.072 3.072 0.000
I 3.072 3.072 2.576
```



[18]
Density functional theory data (PBE) for a geometry-optimized Be2P structure.

Electronic total energy, eV per atom: -4.37

extended XYZ file:
```
6
Lattice="3.561 -1.732 0.000 3.561 1.732 0.000 -1.501 0.000 5.788" Properties=species:S:1:pos:R:3 pbc="T T T"
Be -0.072 0.000 1.960
Be 1.046 0.000 0.188
Be 4.575 0.000 5.600
Be 5.693 0.000 3.827
P 0.749 0.000 4.217
P 4.873 0.000 1.571
```



[19]
Density functional theory data (PBE) for a geometry-optimized Nd3SmGa4O12 structure.

Formation energy without anion corrections, meV per atom: -2641

extended XYZ file:
```
20
Lattice="5.456 0.000 0.000 0.000 7.789 0.000 -0.008 0.000 5.614" Properties=species:S:1:pos:R:3 pbc="T T T"
Nd 0.000 0.000 0.000
Nd 0.151 3.894 0.598
Nd 2.877 0.000 2.816
Sm 2.720 3.894 3.424
Ga 0.072 1.956 3.107
Ga 0.072 5.833 3.107
Ga 2.807 1.953 0.305
Ga 2.807 5.835 0.305
O 0.550 0.000 3.230
O 1.210 2.322 4.748
O 1.210 5.467 4.748
O 1.684 2.336 1.962
O 1.684 5.453 1.962
O 2.325 0.000 0.433
O 3.286 3.894 0.147
O 3.932 1.585 4.267
O 3.932 6.204 4.267
O 4.407 1.584 1.455
O 4.407 6.205 1.455
O 5.012 3.894 2.977
```



[20]
Density functional theory data (PBE) for a geometry-optimized Sm2Si4NiRh3 structure.

Formation energy without anion corrections, meV per atom: -954

extended XYZ file:
```
10
Lattice="4.140 0.000 0.000 0.000 4.140 0.000 0.000 0.000 9.816" Properties=species:S:1:pos:R:3 pbc="T T T"
Sm 0.000 2.070 2.426
Sm 2.070 0.000 7.390
Si 0.000 0.000 0.000
Si 0.000 2.070 6.147
Si 2.070 0.000 3.670
Si 2.070 2.070 0.000
Ni 0.000 0.000 4.908
Rh 0.000 2.070 8.562
Rh 2.070 0.000 1.254
Rh 2.070 2.070 4.908
```